--- a ---
Entry from Alexandria: a relaxed LaMnNF2 crystal (GGA+U).

Lattice parameters (Å, degrees): 4.620 4.620 4.783 90.00 90.00 90.00
Space group P4/mmm (No. 123)
One atom of each set of equivalent atoms:
La 0.000 0.000 0.000 x1
Mn 0.500 0.500 0.500 x1
N 0.000 0.000 0.500 x1
F 0.000 0.500 0.000 x2

=====

--- b ---
Entry from Alexandria: a relaxed LaMnNF2 crystal (GGA+U).

Lattice parameters (Å, degrees): 4.028 4.028 4.456 90.00 90.00 90.00
Space group P4/mmm (No. 123)
One atom of each set of equivalent atoms:
La 0.000 0.000 0.000 x1
Mn 0.500 0.500 0.500 x1
N 0.500 0.500 0.000 x1
F 0.000 0.500 0.500 x2

=====

Referenced to the most stable arrangement, the calculated values in meV per atom are a 427; b 0.

=====

--- a ---
Entry from Alexandria: a relaxed LaMnOF2 crystal (GGA+U).

Lattice parameters (Å, degrees): 3.953 3.953 4.120 90.00 90.00 90.00
Space group P4/mmm (No. 123)
One atom of each set of equivalent atoms:
La 0.000 0.000 0.000 x1
Mn 0.500 0.500 0.500 x1
O 0.500 0.500 0.000 x1
F 0.000 0.500 0.500 x2

=====

--- b ---
Entry from Alexandria: a relaxed LaMnOF2 crystal (GGA+U).

Lattice parameters (Å, degrees): 4.755 4.755 4.607 90.00 90.00 90.00
Space group P4/mmm (No. 123)
One atom of each set of equivalent atoms:
La 0.000 0.000 0.000 x1
Mn 0.500 0.500 0.500 x1
O 0.000 0.000 0.500 x1
F 0.000 0.500 0.000 x2

=====

Referenced to the most stable arrangement, the calculated values in meV per atom are a 558; b 0.

=====

--- a ---
Entry from Alexandria: a relaxed LaMoF2 crystal (GGA+U).

Lattice parameters (Å, degrees): 5.718 5.718 14.051 90.00 90.00 90.00
Space group I-42d (No. 122)
One atom of each set of equivalent atoms:
La 0.000 0.000 0.000 x4
Mo 0.000 0.000 0.500 x4
F 0.040 0.250 0.125 x8

=====

--- b ---
Entry from Alexandria: a relaxed LaMoF2 crystal (GGA+U).

Lattice parameters (Å, degrees): 3.3994 3.3994 23.5169 90.00 90.00 120.00
Space group R-3m (No. 166, hexagonal axes)
One atom of each set of equivalent atoms:
La 0.0000 0.0000 0.0000 x3
Mo 0.0000 0.0000 0.5000 x3
F 0.0000 0.0000 0.4073 x6

=====

--- c ---
Entry from Alexandria: a relaxed LaMoF2 crystal (GGA+U).

Lattice parameters (Å, degrees): 4.0415 4.0415 16.7224 90.00 90.00 120.00
Space group R-3m (No. 166, hexagonal axes)
One atom of each set of equivalent atoms:
La 0.0000 0.0000 0.0000 x3
Mo 0.0000 0.0000 0.5000 x3
F 0.0000 0.0000 0.1409 x6

=====

Referenced to the most stable arrangement, the calculated values in meV per atom are a 0; b 56; c 513.